1) MnTl2Ag | PBE | optimized geometry

Summary:
Space group: No. 10
ρ, g/cm³: 10.54

Unit cell a=3.2612 b=4.6297 c=6.0135 alpha=90.00 beta=97.54 gamma=90.00
With the nearest neighbours (Å) after each atom.
Sites, in units of the cell vectors:
1 Mn 0.0000 0.0000 0.0000  4 Tl 2.92, 2 Ag 3.23, 2 Mn 3.26
2 Tl 0.2549 0.5000 0.7548  2 Mn 2.92, 2 Ag 2.94, 3 Tl 3.16-3.26
3 Tl 0.7451 0.5000 0.2452  2 Mn 2.92, 2 Ag 2.94, 3 Tl 3.16-3.26
4 Ag 0.5000 0.0000 0.5000  4 Tl 2.94, 2 Mn 3.23, 2 Ag 3.26

2) MnTl2Ag | PBE | optimized geometry

Summary:
Space group: No. 71
ρ, g/cm³: 10.48

Unit cell a=5.8021 b=5.8021 c=5.8021 alpha=146.28 beta=122.07 gamma=68.73
With the nearest neighbours (Å) after each atom.
Sites, in units of the cell vectors:
1 Mn 0.0000 0.0000 0.0000  4 Tl 2.89
2 Tl 0.2454 0.7454 0.5000  2 Mn 2.89, 2 Ag 2.96
3 Tl 0.7546 0.2546 0.5000  2 Mn 2.89, 2 Ag 2.96
4 Ag 0.5000 0.5000 0.0000  4 Tl 2.96, 4 Mn 3.28

3) MnTl2Ag | PBE | optimized geometry

Summary:
Space group: No. 99
ρ, g/cm³: 10.08

Unit cell a=3.3770 b=3.3770 c=8.2537 alpha=90.00 beta=90.00 gamma=90.00
With the nearest neighbours (Å) after each atom.
Sites, in units of the cell vectors:
1 Mn 0.0000 0.0000 0.0000  4 Ag 2.78, 4 Tl 3.09
2 Tl 0.0000 0.0000 0.5701  4 Ag 3.20, 4 Tl 3.38, 1 Mn 3.55
3 Tl 0.5000 0.5000 0.2379  4 Mn 3.09, 4 Tl 3.38, 1 Ag 3.38
4 Ag 0.5000 0.5000 0.8286  4 Mn 2.78

Which structure wins on stability? 3) wins.

1) MnTl2Ag | PBE | optimized geometry

Summary:
Space group: No. 166
ρ, g/cm³: 10.54

Unit cell a=9.3274 b=9.3274 c=9.3274 alpha=20.85 beta=20.85 gamma=20.85
With the nearest neighbours (Å) after each atom.
Sites, in units of the cell vectors:
1 Mn 0.0000 0.0000 0.0000  6 Tl 2.97
2 Tl 0.2515 0.2515 0.2515  3 Mn 2.97, 3 Ag 3.03
3 Tl 0.7485 0.7485 0.7485  3 Mn 2.97, 3 Ag 3.03
4 Ag 0.5000 0.5000 0.5000  6 Tl 3.03, 6 Ag 3.38

2) MnTl2Ag | PBE | optimized geometry

Summary:
Space group: No. 216
ρ, g/cm³: 10.34

Unit cell a=5.0639 b=5.0639 c=5.0639 alpha=60.00 beta=60.00 gamma=60.00
With the nearest neighbours (Å) after each atom.
Sites, in units of the cell vectors:
1 Mn 0.0000 0.0000 0.0000  4 Tl 3.10, 4 Ag 3.10
2 Tl 0.2500 0.2500 0.2500  4 Tl 3.10, 4 Mn 3.10
3 Tl 0.5000 0.5000 0.5000  4 Tl 3.10, 4 Ag 3.10
4 Ag 0.7500 0.7500 0.7500  4 Tl 3.10, 4 Mn 3.10

3) MnTl2Ag | PBE | optimized geometry

Summary:
Space group: No. 65
ρ, g/cm³: 10.62

Unit cell a=3.2591 b=3.2591 c=9.4706 alpha=90.00 beta=90.00 gamma=117.33
With the nearest neighbours (Å) after each atom.
Sites, in units of the cell vectors:
1 Mn 0.0000 0.0000 0.0000  4 Tl 2.87
2 Tl 0.5000 0.5000 0.2444  2 Mn 2.87, 2 Ag 2.95
3 Tl 0.5000 0.5000 0.7556  2 Mn 2.87, 2 Ag 2.95
4 Ag 0.0000 0.0000 0.5000  4 Tl 2.95, 4 Ag 3.26

4) MnTl2Ag | PBE | optimized geometry

Summary:
Space group: No. 65
ρ, g/cm³: 10.86

Unit cell a=5.2183 b=5.2183 c=3.2737 alpha=90.00 beta=90.00 gamma=101.45
With the nearest neighbours (Å) after each atom.
Sites, in units of the cell vectors:
1 Mn 0.0000 0.0000 0.0000  8 Tl 3.08, 2 Mn 3.27, 2 Ag 3.30
2 Tl 0.0000 0.5000 0.5000  4 Mn 3.08, 4 Ag 3.08, 4 Tl 3.27-3.30
3 Tl 0.5000 0.0000 0.5000  4 Mn 3.08, 4 Ag 3.08, 4 Tl 3.27-3.30
4 Ag 0.5000 0.5000 0.0000  8 Tl 3.08, 2 Ag 3.27, 2 Mn 3.30

Which structure wins on stability? 4) wins.

1) MnV2Ag2 | PBE | optimized geometry

Summary:
Space group: No. 127
ρ, g/cm³: 7.15

Unit cell a=7.3281 b=7.3281 c=3.2233 alpha=90.00 beta=90.00 gamma=90.00
With the nearest neighbours (Å) after each atom.
Sites, in units of the cell vectors:
1 Mn 0.0000 0.0000 0.0000  4 Ag 2.85, 8 V 3.18
2 Mn 0.5000 0.5000 0.0000  4 Ag 2.85, 8 V 3.18
3 V 0.1645 0.3355 0.5000  6 Ag 2.63-2.73
4 V 0.3355 0.8355 0.5000  6 Ag 2.63-2.73
5 V 0.6645 0.1645 0.5000  6 Ag 2.63-2.73
6 V 0.8355 0.6645 0.5000  6 Ag 2.63-2.73
7 Ag 0.1352 0.6352 0.0000  6 V 2.63-2.73, 1 Ag 2.80, 2 Mn 2.85
8 Ag 0.3648 0.1352 0.0000  6 V 2.63-2.73, 1 Ag 2.80, 2 Mn 2.85
9 Ag 0.6352 0.8648 0.0000  6 V 2.63-2.73, 1 Ag 2.80, 2 Mn 2.85
10 Ag 0.8648 0.3648 0.0000  6 V 2.63-2.73, 1 Ag 2.80, 2 Mn 2.85

2) MnV2Ag2 | PBE | optimized geometry

Summary:
Space group: No. 139
ρ, g/cm³: 7.38

Unit cell a=7.9089 b=7.9089 c=7.9089 alpha=155.68 beta=155.68 gamma=34.66
With the nearest neighbours (Å) after each atom.
Sites, in units of the cell vectors:
1 Mn 0.0000 0.0000 0.0000  8 Ag 2.77
2 V 0.2500 0.7500 0.5000  4 V 2.36
3 V 0.7500 0.2500 0.5000  4 V 2.36
4 Ag 0.4030 0.4030 0.0000  4 Mn 2.77, 4 V 2.85, 1 Ag 2.93
5 Ag 0.5970 0.5970 0.0000  4 Mn 2.77, 4 V 2.85, 1 Ag 2.93

Which structure wins on stability? 2) wins.

1) Mn2VAg | PBE | optimized geometry

Summary:
Space group: No. 122
ρ, g/cm³: 7.48

Unit cell a=9.0275 b=9.0275 c=9.0275 alpha=156.24 beta=156.24 gamma=33.85
With the nearest neighbours (Å) after each atom.
Sites, in units of the cell vectors:
1 Mn 0.0348 0.6250 0.9098  2 Mn 2.21, 2 V 2.42
2 Mn 0.3750 0.2848 0.4098  2 Mn 2.21, 2 V 2.42
3 Mn 0.7152 0.1250 0.0902  2 Mn 2.21, 2 V 2.42
4 Mn 0.8750 0.9652 0.5902  2 Mn 2.21, 2 V 2.42
5 V 0.0000 0.0000 0.0000  4 Mn 2.42, 4 Ag 2.63
6 V 0.7500 0.2500 0.5000  4 Mn 2.42, 4 Ag 2.63
7 Ag 0.2500 0.7500 0.5000  4 V 2.63, 4 Mn 2.67
8 Ag 0.5000 0.5000 0.0000  4 V 2.63, 4 Mn 2.67

2) Mn2VAg | PBE | optimized geometry

Summary:
Space group: No. 225
ρ, g/cm³: 7.56

Unit cell a=4.3710 b=4.3710 c=4.3710 alpha=60.00 beta=60.00 gamma=60.00
With the nearest neighbours (Å) after each atom.
Sites, in units of the cell vectors:
1 Mn 0.2500 0.2500 0.2500  4 Ag 2.68, 4 V 2.68
2 Mn 0.7500 0.7500 0.7500  4 V 2.68, 4 Ag 2.68
3 V 0.0000 0.0000 0.0000  8 Mn 2.68
4 Ag 0.5000 0.5000 0.5000  8 Mn 2.68

Which structure wins on stability? 2) wins.